Record 1
SrMg6Cd4: relaxed, PBE.

Lattice parameters (Å, degrees): 4.7170 8.1562 8.1562 120.00 90.00 90.00
Fractional coordinates of all 11 atoms:
Cd: 0.5000 0.7968 0.5936
Mg: 0.0000 0.5343 0.4657
Mg: 0.0000 0.5343 0.0685
Mg: 0.5000 0.2049 0.4098
Mg: 0.5000 0.5902 0.7951
Mg: 0.0000 0.9315 0.4657
Sr: 0.0000 0.0000 0.0000
Cd: 0.0000 0.3333 0.6667
Mg: 0.5000 0.2049 0.7951
Cd: 0.5000 0.4064 0.2032
Cd: 0.5000 0.7968 0.2032

Computed properties:
Space group   P-6m2
V   24.70 Å³/atom
Formation energy from the elements   -0.145 eV/atom

***

Record 2
ZrVCr: relaxed, PBE.

Lattice parameters (Å, degrees): 4.4220 4.3351 5.3734 90.00 112.94 90.00
Fractional coordinates of all 6 atoms:
Cr: 0.8182 0.5000 0.6232
Zr: 0.5000 0.5000 0.0000
Zr: 0.0000 0.0000 0.0000
V: 0.3110 0.0000 0.6189
V: 0.6890 0.0000 0.3811
Cr: 0.1818 0.5000 0.3768

Computed properties:
Space group   P2/m
V   15.81 Å³/atom
Formation energy from the elements   0.128 eV/atom
Polymorph energy (0 for the lowest one)   0.155 eV per atom

***

Record 3
LiIn8Ga2: relaxed, PBE.

Lattice parameters (Å, degrees): 4.3704 7.1790 9.1620 103.86 103.80 90.00
Fractional coordinates of all 11 atoms:
Li: 0.5000 0.0000 0.0000
In: 0.6835 0.8872 0.3670
Ga: 0.2301 0.6148 0.4601
In: 0.9591 0.2721 0.9183
In: 0.5943 0.4446 0.1886
Ga: 0.7699 0.3852 0.5399
In: 0.4057 0.5554 0.8114
In: 0.0409 0.7279 0.0817
In: 0.3165 0.1128 0.6330
In: 0.1375 0.1684 0.2749
In: 0.8625 0.8316 0.7251

Computed properties:
Space group   C2/m
V   24.59 Å³/atom
Formation energy from the elements   -0.023 eV/atom